Entry 1:
4
Lattice="3.6999 0.0000 0.0000 0.0000 3.6999 0.0000 0.0000 0.0000 7.8537" Properties=species:S:1:pos:R:3 comment="PBE-GGA NaPt, optimized geometry" ef_ev_per_atom=0.03 volume_a3_per_fu=53.75 pbc="T T T"
Na 0.9250 0.9250 1.6086
Na 2.7749 2.7749 6.2451
Pt 0.9250 2.7749 3.9269
Pt 2.7749 0.9250 3.9269

Entry 2:
10
Lattice="3.9948 0.0000 0.0000 0.0000 3.9948 0.0000 0.0000 0.0000 8.0434" Properties=species:S:1:pos:R:3 comment="PBE-GGA Ac2TiGaO6, optimized geometry" raw_formation_energy_ev_per_atom=-2.903 volume_a3_per_fu=128.36 pbc="T T T"
Ac 0.0000 0.0000 1.9833
Ac 0.0000 0.0000 6.0601
Ti 1.9974 1.9974 4.0217
Ga 1.9974 1.9974 0.0000
O 0.0000 1.9974 0.0000
O 0.0000 1.9974 4.0217
O 1.9974 0.0000 0.0000
O 1.9974 0.0000 4.0217
O 1.9974 1.9974 1.9680
O 1.9974 1.9974 6.0753

Entry 3:
7
Lattice="6.0524 -2.1690 0.0000 6.0524 2.1690 0.0000 -3.4061 0.0000 7.8955" Properties=species:S:1:pos:R:3 comment="PBE-GGA La3Al2In2, optimized geometry" ef_ev_per_atom=-0.45 volume_a3_per_fu=207.30 pbc="T T T"
La 0.0000 0.0000 0.0000
La 0.1146 0.0000 5.1169
La 8.5841 0.0000 2.7786
Al 3.5414 0.0000 0.4741
Al 5.1572 0.0000 7.4214
In 3.4117 0.0000 5.2618
In 5.2869 0.0000 2.6337

no.,total energy (eV per atom)
1,-3.65
2,-7.79
3,-4.41